# 1
Nb3SiS after structural relaxation, computed with PBEsol.

Calculated values
calculated total energy: -8.35 eV per atom
energy relative to the elements, uncorrected: 0.17 eV per atom
density of states at the Fermi level: 1.157 states/eV/atom

Geometry as POSCAR:
```
Nb3SiS
1.0
4.501 0.000 0.000
0.000 4.501 0.000
0.000 0.000 4.501
Nb Si S
3 1 1
direct
0.000 0.500 0.000
0.000 0.000 0.500
0.500 0.000 0.000
0.500 0.500 0.500
0.000 0.000 0.000
```

---

# 2
NbSnS3 after structural relaxation, computed with PBEsol.

Calculated values
calculated total energy: -4.99 eV per atom
energy relative to the elements, uncorrected: 0.66 eV per atom
density of states at the Fermi level: 0.538 states/eV/atom

Geometry as POSCAR:
```
NbSnS3
1.0
4.829 0.000 0.000
0.000 4.829 0.000
0.000 0.000 4.829
S Nb Sn
3 1 1
direct
0.000 0.500 0.000
0.000 0.000 0.500
0.500 0.000 0.000
0.500 0.500 0.500
0.000 0.000 0.000
```

---

# 3
NbSnS2 after structural relaxation, computed with PBEsol.

Calculated values
calculated total energy: -6.90 eV per atom
energy relative to the elements, uncorrected: -0.94 eV per atom
density of states at the Fermi level: 0.283 states/eV/atom

Geometry as POSCAR:
```
NbSnS2
1.0
3.301 0.000 0.000
-1.651 2.859 0.000
0.000 0.000 17.350
Nb Sn S
2 2 4
direct
0.667 0.333 0.750
0.333 0.667 0.250
0.000 0.000 0.500
0.000 0.000 0.000
0.000 0.000 0.160
0.000 0.000 0.660
0.000 0.000 0.340
0.000 0.000 0.840
```

---

# 4
SrNbS3 after structural relaxation, computed with PBEsol.

Calculated values
calculated total energy: -4.36 eV per atom
energy relative to the elements, uncorrected: 0.81 eV per atom
density of states at the Fermi level: 1.146 states/eV/atom

Geometry as POSCAR:
```
SrNbS3
1.0
-2.400 4.591 0.641
-4.276 -1.914 -2.301
-1.789 -1.583 4.641
Sr Nb S
1 1 3
direct
0.000 0.000 0.000
0.500 0.500 0.500
0.000 0.500 0.000
0.000 0.000 0.500
0.500 0.000 0.000
```

---

# 5
Ta6Nb3Te2S3 after structural relaxation, computed with PBEsol.

Calculated values
calculated total energy: -9.73 eV per atom
energy relative to the elements, uncorrected: -0.59 eV per atom
density of states at the Fermi level: 0.475 states/eV/atom

Geometry as POSCAR:
```
Ta6Nb3Te2S3
1.0
-0.147 -0.726 -3.315
12.170 -0.565 -0.417
-5.637 -11.969 2.873
Ta Nb Te S
12 6 4 6
direct
0.750 0.334 0.720
0.250 0.666 0.280
0.750 0.750 0.810
0.250 0.250 0.190
0.750 0.520 0.591
0.250 0.480 0.409
0.750 0.453 0.235
0.250 0.547 0.765
0.750 0.283 0.366
0.250 0.717 0.634
0.750 0.677 0.452
0.250 0.323 0.548
0.750 0.906 0.411
0.250 0.094 0.589
0.750 0.556 0.938
0.250 0.444 0.062
0.750 0.921 0.654
0.250 0.079 0.346
0.750 0.053 0.165
0.250 0.947 0.835
0.750 0.241 0.018
0.250 0.759 0.982
0.750 0.161 0.488
0.250 0.839 0.512
0.750 0.608 0.135
0.250 0.392 0.865
0.750 0.140 0.735
0.250 0.860 0.265
```

---

# 6
TaNbTl2S after structural relaxation, computed with PBEsol.

Calculated values
calculated total energy: -5.55 eV per atom
energy relative to the elements, uncorrected: 1.06 eV per atom
density of states at the Fermi level: 1.203 states/eV/atom

Geometry as POSCAR:
```
TaNbTl2S
1.0
4.525 0.000 0.000
0.000 5.423 0.000
0.000 0.000 5.423
S Tl Nb Ta
1 2 1 1
direct
0.500 0.000 0.000
0.000 0.000 0.500
0.000 0.500 0.000
0.500 0.500 0.500
0.000 0.000 0.000
```

---

# 7
Nb2TeS after structural relaxation, computed with PBEsol.

Calculated values
calculated total energy: -7.68 eV per atom
energy relative to the elements, uncorrected: -0.29 eV per atom
density of states at the Fermi level: 1.370 states/eV/atom

Geometry as POSCAR:
```
Nb2TeS
1.0
4.601 0.000 0.000
2.301 3.985 0.000
2.301 1.328 3.757
Nb Te S
2 1 1
direct
0.250 0.250 0.250
0.750 0.750 0.750
0.500 0.500 0.500
0.000 0.000 0.000
```

---

# 8
Ti3NbS after structural relaxation, computed with PBEsol.

Calculated values
calculated total energy: -8.35 eV per atom
energy relative to the elements, uncorrected: -0.32 eV per atom
density of states at the Fermi level: 0.598 states/eV/atom

Geometry as POSCAR:
```
Ti3NbS
1.0
4.425 0.000 0.000
0.000 4.425 0.000
0.000 0.000 4.425
Nb S Ti
1 1 3
direct
0.500 0.500 0.500
0.000 0.000 0.000
0.000 0.500 0.000
0.000 0.000 0.500
0.500 0.000 0.000
```

---

# 9
TiNb4S8 after structural relaxation, computed with PBEsol.

Calculated values
calculated total energy: -7.98 eV per atom
energy relative to the elements, uncorrected: -1.31 eV per atom
density of states at the Fermi level: 0.186 states/eV/atom

Geometry as POSCAR:
```
TiNb4S8
1.0
6.608 0.000 0.000
-3.304 5.722 0.000
0.000 0.000 12.139
Ti Nb S
2 8 16
direct
0.000 0.000 0.000
0.000 0.000 0.500
0.000 0.000 0.250
0.000 0.000 0.750
0.505 0.495 0.250
0.990 0.495 0.250
0.505 0.010 0.250
0.495 0.505 0.750
0.010 0.505 0.750
0.495 0.990 0.750
0.333 0.667 0.618
0.667 0.333 0.382
0.667 0.333 0.118
0.333 0.667 0.882
0.168 0.832 0.120
0.664 0.832 0.120
0.168 0.336 0.120
0.832 0.168 0.880
0.336 0.168 0.880
0.832 0.664 0.880
0.832 0.168 0.620
0.336 0.168 0.620
0.832 0.664 0.620
0.168 0.832 0.380
0.664 0.832 0.380
0.168 0.336 0.380
```

---

# 10
TiNbS4 after structural relaxation, computed with PBEsol.

Calculated values
calculated total energy: -7.30 eV per atom
energy relative to the elements, uncorrected: -1.19 eV per atom
density of states at the Fermi level: 0.385 states/eV/atom

Geometry as POSCAR:
```
TiNbS4
1.0
-2.018 -2.645 -0.042
4.477 -3.436 1.224
-2.236 3.719 5.004
Nb S Ti
1 4 1
direct
0.500 0.500 0.000
0.868 0.195 0.735
0.629 0.290 0.258
0.371 0.710 0.742
0.132 0.805 0.265
0.000 0.000 0.000
```

---

# 11
YTiNbS2 after structural relaxation, computed with PBEsol.

Calculated values
calculated total energy: -6.06 eV per atom
energy relative to the elements, uncorrected: 0.89 eV per atom
density of states at the Fermi level: 1.505 states/eV/atom

Geometry as POSCAR:
```
YTiNbS2
1.0
4.968 0.000 0.000
0.000 4.968 0.000
0.000 0.000 5.125
Y Nb S Ti
1 1 2 1
direct
0.000 0.000 0.000
0.000 0.000 0.500
0.000 0.500 0.000
0.500 0.000 0.000
0.500 0.500 0.500
```

---

# 12
Nb3TlS after structural relaxation, computed with PBEsol.

Calculated values
calculated total energy: -5.62 eV per atom
energy relative to the elements, uncorrected: 2.28 eV per atom
density of states at the Fermi level: 1.648 states/eV/atom

Geometry as POSCAR:
```
Nb3TlS
1.0
5.057 0.000 0.000
0.000 5.057 0.000
0.000 0.000 5.057
S Tl Nb
1 1 3
direct
0.500 0.500 0.500
0.000 0.000 0.000
0.000 0.500 0.000
0.000 0.000 0.500
0.500 0.000 0.000
```

---

# 13
NbTlS2 after structural relaxation, computed with PBEsol.

Calculated values
calculated total energy: -6.38 eV per atom
energy relative to the elements, uncorrected: -0.82 eV per atom
density of states at the Fermi level: 0.472 states/eV/atom

Geometry as POSCAR:
```
NbTlS2
1.0
3.307 0.000 0.000
1.653 2.864 0.000
1.653 0.955 9.144
S Tl Nb
2 1 1
direct
0.891 0.891 0.328
0.109 0.109 0.672
0.000 0.000 0.000
0.500 0.500 0.500
```

---

# 14
Nb6ZnS8 after structural relaxation, computed with PBEsol.

Calculated values
calculated total energy: -7.83 eV per atom
energy relative to the elements, uncorrected: -1.05 eV per atom
density of states at the Fermi level: 0.539 states/eV/atom

Geometry as POSCAR:
```
Nb6ZnS8
1.0
-2.872 -1.457 -0.928
4.623 -8.200 -1.439
-3.736 1.923 8.545
Nb Zn S
6 1 8
direct
0.751 0.884 0.514
0.751 0.486 0.370
0.751 0.630 0.116
0.249 0.116 0.486
0.249 0.514 0.630
0.249 0.370 0.884
0.500 0.000 0.000
0.750 0.333 0.667
0.250 0.667 0.333
0.749 0.715 0.658
0.749 0.342 0.057
0.749 0.943 0.285
0.251 0.285 0.342
0.251 0.658 0.943
0.251 0.057 0.715
```

---

# 15
Nb2ZnS after structural relaxation, computed with PBEsol.

Calculated values
calculated total energy: -7.01 eV per atom
energy relative to the elements, uncorrected: -0.11 eV per atom
density of states at the Fermi level: 0.766 states/eV/atom

Geometry as POSCAR:
```
Nb2ZnS
1.0
-0.892 4.027 1.527
-0.790 0.602 4.284
2.941 2.103 2.504
S Nb Zn
1 2 1
direct
0.000 0.000 0.000
0.250 0.250 0.250
0.750 0.750 0.750
0.500 0.500 0.500
```

---

# 16
ZrNb3S after structural relaxation, computed with PBEsol.

Calculated values
calculated total energy: -7.37 eV per atom
energy relative to the elements, uncorrected: 1.82 eV per atom
density of states at the Fermi level: 1.080 states/eV/atom

Geometry as POSCAR:
```
ZrNb3S
1.0
-1.092 4.693 -0.522
-4.239 -0.739 2.229
2.079 0.958 4.272
Nb S Zr
3 1 1
direct
0.000 0.500 0.000
0.000 0.000 0.500
0.500 0.000 0.000
0.500 0.500 0.500
0.000 0.000 0.000
```

---

# 17
Nb5Sb4 after structural relaxation, computed with PBEsol.

Calculated values
calculated total energy: -8.39 eV per atom
energy relative to the elements, uncorrected: -0.35 eV per atom
density of states at the Fermi level: 0.426 states/eV/atom

Geometry as POSCAR:
```
Nb5Sb4
1.0
3.530 0.000 0.000
1.765 7.267 0.000
1.765 0.000 7.267
Nb Sb
5 4
direct
0.000 0.000 0.000
0.688 0.683 0.940
0.371 0.940 0.317
0.629 0.060 0.683
0.312 0.317 0.060
0.948 0.347 0.757
0.295 0.757 0.653
0.705 0.243 0.347
0.052 0.653 0.243
```

---

# 18
Nb3Sb after structural relaxation, computed with PBEsol.

Calculated values
calculated total energy: -9.59 eV per atom
energy relative to the elements, uncorrected: -0.33 eV per atom
density of states at the Fermi level: 0.648 states/eV/atom

Geometry as POSCAR:
```
Nb3Sb
1.0
5.247 0.000 0.000
0.000 5.247 0.000
0.000 0.000 5.247
Nb Sb
6 2
direct
0.250 0.000 0.500
0.750 0.000 0.500
0.000 0.500 0.250
0.000 0.500 0.750
0.500 0.750 0.000
0.500 0.250 0.000
0.000 0.000 0.000
0.500 0.500 0.500
```

---

# 19
NbSb2 after structural relaxation, computed with PBEsol.

Calculated values
calculated total energy: -6.98 eV per atom
energy relative to the elements, uncorrected: -0.33 eV per atom
density of states at the Fermi level: 0.151 states/eV/atom

Geometry as POSCAR:
```
NbSb2
1.0
3.613 0.000 0.000
1.807 5.117 0.002
1.807 0.958 7.199
Sb Nb
4 2
direct
0.595 0.697 0.113
0.405 0.303 0.887
0.148 0.239 0.464
0.852 0.761 0.536
0.848 0.113 0.190
0.152 0.887 0.810
```

---

# 20
ScNbSb2 after structural relaxation, computed with PBEsol.

Calculated values
calculated total energy: -7.02 eV per atom
energy relative to the elements, uncorrected: -0.39 eV per atom
density of states at the Fermi level: 1.107 states/eV/atom

Geometry as POSCAR:
```
ScNbSb2
1.0
-1.068 -4.516 -1.494
-0.370 -3.618 3.246
-4.360 -1.934 1.008
Sc Sb Nb
1 2 1
direct
0.000 0.000 0.000
0.250 0.250 0.250
0.750 0.750 0.750
0.500 0.500 0.500
```